Entry 1:
VASP calculation (PBE-GGA) on ZnInBr3 after structural relaxation.

Results
**E above lowest polymorph**: 0.072 eV per atom
**E_form (uncorrected)**: -3.61 eV/f.u.

Unit cell a=14.9750 b=3.9682 c=6.4601 alpha=90.00 beta=98.34 gamma=90.00
Last column: nearest neighbours and their distance in Å.
Fractional positions:
Zn 0.0000 0.0000 0.0000  3 Br 2.47-2.49, 1 In 2.65
Zn 0.5000 0.5000 0.0000  3 Br 2.47-2.49, 1 In 2.65
In 0.3820 0.5000 0.6524  1 Zn 2.65, 3 Br 2.74-2.75
In 0.8820 0.0000 0.6524  1 Zn 2.65, 3 Br 2.74-2.75
Br 0.0981 0.5000 0.0645  2 Zn 2.47
Br 0.2540 0.0000 0.6220  2 In 2.75
Br 0.3796 0.5000 0.2282  1 Zn 2.49, 1 In 2.74
Br 0.5981 0.0000 0.0645  2 Zn 2.47
Br 0.7540 0.5000 0.6220  2 In 2.75
Br 0.8796 0.0000 0.2282  1 Zn 2.49, 1 In 2.74



Entry 2:
VASP calculation (PBE-GGA) on AcCd2SbO6 after structural relaxation.

Results
**E_form (uncorrected)**: -17.98 eV/f.u.

Unit cell a=6.1468 b=6.1468 c=6.1468 alpha=56.48 beta=56.48 gamma=56.48
Last column: nearest neighbours and their distance in Å.
Fractional positions:
Ac 0.0000 0.0000 0.0000  6 O 2.43-2.60
Cd 0.2706 0.2706 0.2706  3 O 2.29
Cd 0.7814 0.7814 0.7814  3 O 2.23
Sb 0.4869 0.4869 0.4869  6 O 2.03-2.04
O 0.1292 0.6690 0.4103  1 Sb 2.04, 1 Cd 2.23
O 0.2438 0.5818 0.8397  1 Sb 2.03
O 0.4103 0.1292 0.6690  1 Sb 2.04, 1 Cd 2.23
O 0.5818 0.8397 0.2438  1 Sb 2.03
O 0.6690 0.4103 0.1292  1 Sb 2.04, 1 Cd 2.23
O 0.8397 0.2438 0.5818  1 Sb 2.03



Entry 3:
VASP calculation (PBE-GGA) on Th2CoAs after structural relaxation.

Results
**Energy of formation from the pure elements**: 0.034 eV/atom

Unit cell a=3.7971 b=3.7971 c=26.2036 alpha=90.00 beta=90.00 gamma=120.00
Last column: nearest neighbours and their distance in Å.
Fractional positions:
Th 0.0000 0.0000 0.0920  1 Co 2.41
Th 0.0000 0.0000 0.9080  1 Co 2.41
Th 0.3333 0.6667 0.5747  1 Co 2.41
Th 0.3333 0.6667 0.7587  1 Co 2.41
Th 0.6667 0.3333 0.2413  1 Co 2.41
Th 0.6667 0.3333 0.4253  1 Co 2.41
Co 0.0000 0.0000 0.0000  2 Th 2.41
Co 0.3333 0.6667 0.6667  2 Th 2.41
Co 0.6667 0.3333 0.3333  2 Th 2.41
As 0.0000 0.0000 0.5000  6 Th 2.94
As 0.3333 0.6667 0.1667  6 Th 2.94
As 0.6667 0.3333 0.8333  6 Th 2.94



Entry 4:
VASP calculation (PBE-GGA) on K2HPd after structural relaxation.

Results
**E above lowest polymorph**: 0.332 eV per atom

Unit cell a=3.4459 b=3.4459 c=27.6471 alpha=90.00 beta=90.00 gamma=120.00
Last column: nearest neighbours and their distance in Å.
Fractional positions:
K 0.0000 0.0000 0.1039  3 H 2.64, 1 Pd 2.87
K 0.0000 0.0000 0.8961  3 H 2.64, 1 Pd 2.87
K 0.3333 0.6667 0.5628  3 H 2.64, 1 Pd 2.87
K 0.3333 0.6667 0.7706  3 H 2.64, 1 Pd 2.87
K 0.6667 0.3333 0.2294  3 H 2.64, 1 Pd 2.87
K 0.6667 0.3333 0.4372  3 H 2.64, 1 Pd 2.87
H 0.0000 0.0000 0.5000  6 K 2.64
H 0.3333 0.6667 0.1667  6 K 2.64
H 0.6667 0.3333 0.8333  6 K 2.64
Pd 0.0000 0.0000 0.0000  2 K 2.87
Pd 0.3333 0.6667 0.6667  2 K 2.87
Pd 0.6667 0.3333 0.3333  2 K 2.87



Entry 5:
VASP calculation (PBE-GGA) on HfH2Se2 after structural relaxation.

Results
**E above lowest polymorph**: 0.394 eV per atom

Unit cell a=5.9735 b=5.9735 c=7.9574 alpha=94.39 beta=94.39 gamma=126.62
Last column: nearest neighbours and their distance in Å.
Fractional positions:
Hf 0.1352 0.8648 0.0000  4 H 1.95-2.03
Hf 0.8648 0.1352 0.0000  4 H 1.95-2.03
H 0.0380 0.0380 0.1674  2 H 1.94, 2 Hf 1.95
H 0.2666 0.2666 0.0030  2 H 1.94, 2 Hf 2.03
H 0.7334 0.7334 0.9970  2 H 1.94, 2 Hf 2.03
H 0.9620 0.9620 0.8326  2 H 1.94, 2 Hf 1.95
Se 0.0597 0.5631 0.2547  2 Se 2.68, 2 Hf 2.70
Se 0.4369 0.9403 0.7453  2 Se 2.68, 2 Hf 2.70
Se 0.5631 0.0597 0.2547  2 Se 2.68, 2 Hf 2.70
Se 0.9403 0.4369 0.7453  2 Se 2.68, 2 Hf 2.70



Entry 6:
VASP calculation (PBE-GGA) on Pm5Pr4Al after structural relaxation.

Results
**E above lowest polymorph**: 0.000 eV per atom
**Energy of formation from the pure elements**: 0.041 eV/atom

Unit cell a=4.2354 b=4.2354 c=18.3806 alpha=90.00 beta=90.00 gamma=90.00
Last column: nearest neighbours and their distance in Å.
Fractional positions:
Pm 0.0000 0.0000 0.0000  8 Pr 3.55, 2 Pm 3.86
Pm 0.0000 0.0000 0.2101  8 Pr 3.49-3.58, 2 Pm 3.79-3.86
Pm 0.0000 0.0000 0.4160  1 Pm 3.09, 4 Al 3.37
Pm 0.0000 0.0000 0.5840  1 Pm 3.09, 4 Al 3.37
Pm 0.0000 0.0000 0.7899  8 Pr 3.49-3.58, 2 Pm 3.79-3.86
Pr 0.5000 0.5000 0.1033  8 Pm 3.55-3.58, 2 Pr 3.76-3.80
Pr 0.5000 0.5000 0.3077  8 Pm 3.49-3.60, 1 Al 3.54, 1 Pr 3.76
Pr 0.5000 0.5000 0.6923  8 Pm 3.49-3.60, 1 Al 3.54, 1 Pr 3.76
Pr 0.5000 0.5000 0.8967  8 Pm 3.55-3.58, 2 Pr 3.76-3.80
Al 0.5000 0.5000 0.5000  8 Pm 3.37, 2 Pr 3.54



Entry 7:
VASP calculation (PBE-GGA) on CaTbSm4 after structural relaxation.

Results
**E above lowest polymorph**: 0.160 eV per atom
**Energy of formation from the pure elements**: 0.213 eV/atom

Unit cell a=6.7413 b=6.7413 c=6.7413 alpha=60.00 beta=60.00 gamma=60.00
Last column: nearest neighbours and their distance in Å.
Fractional positions:
Ca 0.0000 0.0000 0.0000  12 Sm 3.96, 4 Tb 4.13
Tb 0.2500 0.2500 0.2500  12 Sm 3.95, 4 Ca 4.13
Sm 0.1298 0.6234 0.6234  6 Sm 3.33-3.41
Sm 0.6234 0.1298 0.6234  6 Sm 3.33-3.41
Sm 0.6234 0.6234 0.1298  6 Sm 3.33-3.41
Sm 0.6234 0.6234 0.6234  6 Sm 3.33-3.41



Entry 8:
VASP calculation (PBE-GGA) on BeH4 after structural relaxation.

Results
**Energy**: -2.6181 eV per atom

Unit cell a=3.0304 b=3.0304 c=3.0304 alpha=90.00 beta=90.00 gamma=90.00
Last column: nearest neighbours and their distance in Å.
Fractional positions:
Be 0.0000 0.0000 0.0000  6 H 1.52
H 0.0000 0.0000 0.5000  2 Be 1.52
H 0.0000 0.5000 0.0000  2 Be 1.52
H 0.5000 0.0000 0.0000  2 Be 1.52
H 0.5000 0.5000 0.5000  12 H 2.14